Record 1
MgFe2Br | GGA-PBE | relaxed

Summary:
Energy relative to the lowest polymorph listed for this composition   104 kJ/mol of formula units
E_form (uncorrected)   382 meV/atom
Raw total energy   -4.667 eV per atom

a = 4.682 Å, b = 3.170 Å, c = 5.091 Å
α = 100.56°, β = 90.00°, γ = 90.00°
Each line ends with the local moment (μB).
Atoms (fractional coordinates):
Mg1 0.500 0.250 0.250  -0.04
Fe1 0.000 0.583 0.426  2.71
Br1 0.500 0.750 0.750  0.03
Fe2 0.000 0.917 0.074  2.71


Record 2
Tl2CoW | GGA-PBE | relaxed

Summary:
Energy relative to the lowest polymorph listed for this composition   149 kJ/mol of formula units
Raw total energy   -5.289 eV per atom
DFT formation energy   0.91 eV/atom

a = 9.159 Å, b = 9.159 Å, c = 9.159 Å
α = 19.30°, β = 19.30°, γ = 19.30°
Each line ends with the local moment (μB).
Atoms (fractional coordinates):
Tl1 0.494 0.494 0.494  -0.01
W1 0.250 0.250 0.250  -0.02
Tl2 0.006 0.006 0.006  -0.01
Co1 0.750 0.750 0.750  1.10


Record 3
CoSb2 | GGA-PBE | relaxed

Summary:
E_form (uncorrected)   -168 meV/atom
Raw total energy   -5.285 eV per atom

a = 3.428 Å, b = 5.583 Å, c = 6.420 Å
α = 90.00°, β = 90.00°, γ = 90.00°
Atoms (fractional coordinates):
Sb1 0.000 0.798 0.356
Co1 0.000 0.000 0.000
Sb2 0.500 0.298 0.144
Sb3 0.500 0.702 0.856
Co2 0.500 0.500 0.500
Sb4 0.000 0.202 0.644


Record 4
Pm2Pr | GGA-PBE | relaxed

Summary:
Energy relative to the lowest polymorph listed for this composition   71 kJ/mol of formula units
Raw total energy   -4.510 eV per atom
DFT formation energy   0.25 eV/atom

a = 6.733 Å, b = 6.733 Å, c = 6.733 Å
α = 60.00°, β = 60.00°, γ = 60.00°
Atoms (fractional coordinates):
Pr1 0.000 0.000 0.000
Pr2 0.250 0.250 0.250
Pm1 0.125 0.625 0.625
Pm2 0.625 0.125 0.625
Pm3 0.625 0.625 0.125
Pm4 0.625 0.625 0.625